Record 1
This record from Alexandria describes a relaxed structure of ErPuCo4. The functional is PBE-GGA.

Properties
Energy relative to the elements: -0.199 eV/atom
Space group: F-43m

Cell and atoms, written as POSCAR:
```
ErPuCo4
1.0
0.000 3.555 3.555
3.555 0.000 3.555
3.555 3.555 0.000
Er Pu Co
1 1 4
Cartesian
0.000 0.000 0.000
5.332 5.332 5.332
2.668 2.668 2.668
4.442 4.442 2.668
4.442 2.668 4.442
2.668 4.442 4.442
```

Record 2
This record from Alexandria describes a relaxed structure of ErPu2Co. The functional is PBE-GGA.

Properties
Energy relative to the elements: 0.117 eV/atom
Space group: P4/mmm

Cell and atoms, written as POSCAR:
```
ErPu2Co
1.0
3.381 0.000 0.000
0.000 3.381 0.000
0.000 0.000 8.167
Er Pu Co
1 2 1
Cartesian
0.000 0.000 0.000
1.691 1.691 2.529
1.691 1.691 5.638
0.000 0.000 4.083
```

Record 3
This record from Alexandria describes a relaxed structure of Er2PuCo2. The functional is PBE-GGA.

Properties
Energy relative to the elements: -0.200 eV/atom
Space group: C2/c

Cell and atoms, written as POSCAR:
```
Er2PuCo2
1.0
5.005 -2.890 0.000
5.005 2.890 0.000
-1.371 0.000 7.080
Er Pu Co
4 2 4
Cartesian
1.311 0.687 1.054
0.626 -0.687 4.594
8.014 0.687 2.486
7.329 -0.687 6.025
4.663 0.583 1.770
3.977 -0.583 5.310
2.834 0.847 3.473
2.149 -0.847 7.012
6.491 0.847 0.067
5.806 -0.847 3.607
```

Record 4
This record from Alexandria describes a relaxed structure of ErPuCo. The functional is PBE-GGA.

Properties
Energy relative to the elements: 0.015 eV/atom
Space group: I4mm

Cell and atoms, written as POSCAR:
```
ErPuCo
1.0
-1.657 1.657 6.035
1.657 -1.657 6.035
1.657 1.657 -6.035
Er Pu Co
1 1 1
Cartesian
0.000 0.000 0.000
0.000 0.000 3.237
0.000 0.000 7.667
```

Record 5
This record from Alexandria describes a relaxed structure of Er3PuCo8. The functional is PBE-GGA.

Properties
Energy relative to the elements: -0.221 eV/atom
Space group: R3m

Cell and atoms, written as POSCAR:
```
Er3PuCo8
1.0
2.516 1.453 8.215
-2.516 1.453 8.215
0.000 -2.905 8.215
Er Pu Co
3 1 8
Cartesian
0.000 0.000 0.000
0.000 0.000 3.088
0.000 0.000 15.404
0.000 0.000 12.329
0.000 -1.448 5.642
-1.254 0.724 5.642
-1.254 -0.724 9.773
0.000 0.000 7.716
1.254 0.724 5.642
1.254 -0.724 9.773
0.000 1.448 9.773
0.000 0.000 20.041
```

Record 6
This record from Alexandria describes a relaxed structure of ErPuCo. The functional is PBE-GGA.

Properties
Energy relative to the elements: 0.065 eV/atom
Space group: P-1

Cell and atoms, written as POSCAR:
```
ErPuCo
1.0
3.334 0.000 0.000
0.003 4.713 0.000
1.050 0.565 7.432
Er Pu Co
2 2 2
Cartesian
0.518 1.470 2.597
3.869 3.808 4.835
0.835 3.972 0.323
3.552 1.306 7.109
2.166 1.501 4.993
2.221 3.776 2.439
```

Record 7
This record from Alexandria describes a relaxed structure of ErPuCo. The functional is PBE-GGA.

Properties
Energy relative to the elements: 0.101 eV/atom
Space group: F-43m

Cell and atoms, written as POSCAR:
```
ErPuCo
1.0
0.000 3.275 3.275
3.275 0.000 3.275
3.275 3.275 0.000
Er Pu Co
1 1 1
Cartesian
0.000 0.000 0.000
3.275 3.275 3.275
1.638 1.638 1.638
```

Record 8
This record from Alexandria describes a relaxed structure of ErPu2Co9. The functional is PBE-GGA.

Properties
Energy relative to the elements: -0.165 eV/atom
Space group: R-3m

Cell and atoms, written as POSCAR:
```
ErPu2Co9
1.0
2.451 1.415 8.155
-2.451 1.415 8.155
0.000 -2.830 8.155
Er Pu Co
1 2 9
Cartesian
0.000 0.000 0.000
0.000 0.000 3.421
0.000 0.000 21.044
-1.226 -0.708 10.144
0.000 0.000 8.153
0.000 -1.415 14.322
-1.226 0.708 14.322
0.000 0.000 12.233
1.226 -0.708 10.144
0.000 1.415 10.144
0.000 0.000 16.313
1.226 0.708 14.322
```

Record 9
This record from Alexandria describes a relaxed structure of ErPuCo. The functional is PBE-GGA.

Properties
Energy relative to the elements: 0.210 eV/atom
Space group: P-6m2

Cell and atoms, written as POSCAR:
```
ErPuCo
1.0
4.200 0.000 0.000
-2.100 3.637 0.000
0.000 0.000 4.419
Er Pu Co
1 1 1
Cartesian
0.000 0.000 0.000
2.100 1.212 2.210
0.000 2.425 2.210
```

Record 10
This record from Alexandria describes a relaxed structure of ErPuCoRu. The functional is PBE-GGA.

Properties
Energy relative to the elements: -0.178 eV/atom
Space group: F-43m

Cell and atoms, written as POSCAR:
```
ErPuCoRu
1.0
0.000 3.349 3.349
3.349 0.000 3.349
3.349 3.349 0.000
Er Pu Co Ru
1 1 1 1
Cartesian
0.000 0.000 0.000
3.349 3.349 3.349
1.675 1.675 1.675
5.024 5.024 5.024
```

Record 11
This record from Alexandria describes a relaxed structure of ErPuCoTc. The functional is PBE-GGA.

Properties
Energy relative to the elements: -0.021 eV/atom
Space group: F-43m

Cell and atoms, written as POSCAR:
```
ErPuCoTc
1.0
0.000 3.345 3.345
3.345 0.000 3.345
3.345 3.345 0.000
Er Pu Co Tc
1 1 1 1
Cartesian
0.000 0.000 0.000
3.345 3.345 3.345
1.672 1.672 1.672
5.017 5.017 5.017
```

Record 12
This record from Alexandria describes a relaxed structure of ErPuZnCo. The functional is PBE-GGA.

Properties
Energy relative to the elements: -0.079 eV/atom
Space group: F-43m

Cell and atoms, written as POSCAR:
```
ErPuZnCo
1.0
0.000 3.435 3.435
3.435 0.000 3.435
3.435 3.435 0.000
Er Pu Zn Co
1 1 1 1
Cartesian
0.000 0.000 0.000
3.435 3.435 3.435
5.153 5.153 5.153
1.718 1.718 1.718
```

Record 13
This record from Alexandria describes a relaxed structure of RbEr2Co. The functional is PBE-GGA.

Properties
Energy relative to the elements: 0.101 eV/atom
Space group: R-3m

Cell and atoms, written as POSCAR:
```
RbEr2Co
1.0
1.969 1.137 10.877
-1.969 1.137 10.877
0.000 -2.273 10.877
Rb Er Co
1 2 1
Cartesian
0.000 0.000 0.000
0.000 0.000 4.086
0.000 0.000 28.545
0.000 0.000 16.315
```

Record 14
This record from Alexandria describes a relaxed structure of ErCoRe. The functional is PBE-GGA.

Properties
Energy relative to the elements: 0.235 eV/atom
Space group: Imma

Cell and atoms, written as POSCAR:
```
ErCoRe
1.0
-2.391 2.621 4.148
2.391 -2.621 4.148
2.391 2.621 -4.148
Er Co Re
2 2 2
Cartesian
0.000 1.311 1.079
2.391 1.311 3.068
2.391 -1.311 2.257
0.000 3.932 1.891
2.391 0.000 0.000
0.000 0.000 4.148
```

Record 15
This record from Alexandria describes a relaxed structure of ErCoReSi2. The functional is PBE-GGA.

Properties
Formation energy (no corrections): -0.607 eV/atom
Space group: I-4m2

Cell and atoms, written as POSCAR:
```
ErCoReSi2
1.0
-2.030 2.030 4.873
2.030 -2.030 4.873
2.030 2.030 -4.873
Er Co Re Si
1 1 1 2
Cartesian
0.000 0.000 0.000
2.030 0.000 2.436
0.000 2.030 2.436
0.000 0.000 3.643
0.000 0.000 6.103
```

Record 16
This record from Alexandria describes a relaxed structure of Er6CoRh2. The functional is PBE-GGA.

Properties
Energy relative to the elements: -0.512 eV/atom
Space group: P2_1/c

Cell and atoms, written as POSCAR:
```
Er6CoRh2
1.0
6.403 0.000 0.000
0.000 7.254 0.000
-6.128 0.000 9.452
Er Co Rh
12 2 4
Cartesian
-0.880 0.302 2.336
-3.944 3.325 7.062
1.058 4.878 0.656
-2.006 6.003 5.382
2.135 1.303 0.606
-0.929 2.324 5.332
1.205 4.930 4.120
-1.859 5.951 8.847
2.282 1.251 4.070
-0.782 2.376 8.797
4.220 3.929 2.390
1.156 6.952 7.116
0.138 0.000 4.726
3.202 3.627 0.000
-2.684 0.856 7.230
0.380 2.771 2.504
-0.104 4.483 6.948
2.960 6.398 2.222
```

Record 17
This record from Alexandria describes a relaxed structure of Er4CoRh2. The functional is PBE-GGA.

Properties
Energy relative to the elements: -0.606 eV/atom
Space group: R-3m

Cell and atoms, written as POSCAR:
```
Er4CoRh2
1.0
2.368 1.367 7.791
-2.368 1.367 7.791
0.000 -2.734 7.791
Er Co Rh
4 1 2
Cartesian
0.000 0.000 2.894
0.000 0.000 8.751
0.000 0.000 14.620
0.000 0.000 20.478
0.000 0.000 0.000
0.000 0.000 5.869
0.000 0.000 17.503
```

Record 18
This record from Alexandria describes a relaxed structure of Er6CoRh5. The functional is PBE-GGA.

Properties
Energy relative to the elements: -0.810 eV/atom
Space group: Cmmm

Cell and atoms, written as POSCAR:
```
Er6CoRh5
1.0
2.389 -7.174 0.000
2.389 7.174 0.000
0.000 0.000 6.773
Er Co Rh
6 1 5
Cartesian
0.000 0.000 1.675
0.000 0.000 5.097
2.389 2.372 1.685
2.389 2.372 5.088
2.389 -2.372 1.685
2.389 -2.372 5.088
2.389 0.000 0.000
2.389 4.784 0.000
2.389 4.773 3.386
2.389 0.000 3.386
2.389 -4.784 0.000
2.389 -4.773 3.386
```

Record 19
This record from Alexandria describes a relaxed structure of Er5Co2Rh. The functional is PBE-GGA.

Properties
Energy relative to the elements: -0.422 eV/atom
Space group: I4/mcm

Cell and atoms, written as POSCAR:
```
Er5Co2Rh
1.0
-3.527 3.527 7.046
3.527 -3.527 7.046
3.527 3.527 -7.046
Er Co Rh
10 4 2
Cartesian
0.000 0.000 0.000
4.776 1.248 -1.992
1.248 2.279 -1.992
4.776 1.248 1.992
1.248 2.279 1.992
0.000 0.000 7.046
2.279 1.248 5.054
-1.248 2.279 5.054
2.279 1.248 9.038
-1.248 2.279 9.038
2.727 0.800 0.000
2.727 -0.800 7.046
0.800 4.328 0.000
0.800 2.727 7.046
0.000 0.000 3.523
0.000 0.000 10.569
```

Record 20
This record from Alexandria describes a relaxed structure of Er4CoRh. The functional is PBE-GGA.

Properties
Energy relative to the elements: -0.432 eV/atom
Space group: C2/c

Cell and atoms, written as POSCAR:
```
Er4CoRh
1.0
4.353 -6.471 0.000
4.353 6.471 0.000
-3.392 0.000 5.042
Er Co Rh
8 2 2
Cartesian
0.177 4.163 4.528
0.112 0.796 3.663
3.441 4.163 3.035
1.808 -0.796 1.142
3.506 0.796 3.900
1.873 -4.163 2.007
5.202 -0.796 1.379
5.137 -4.163 0.514
3.505 6.456 1.261
1.809 -6.456 3.782
3.505 1.796 1.261
1.809 -1.796 3.782
```

Record 21
This record from Alexandria describes a relaxed structure of Er12Co6Rh. The functional is PBE-GGA.

Properties
Energy relative to the elements: -0.263 eV/atom
Space group: Im-3

Cell and atoms, written as POSCAR:
```
Er12Co6Rh
1.0
-4.713 4.713 4.713
4.713 -4.713 4.713
4.713 4.713 -4.713
Er Co Rh
12 6 1
Cartesian
4.713 2.896 -1.916
2.797 0.000 1.817
6.629 0.000 1.817
1.817 2.797 0.000
2.896 -1.916 4.713
0.000 1.817 2.797
4.713 2.896 1.916
1.817 6.629 0.000
2.896 1.916 4.713
-1.916 4.713 2.896
1.916 4.713 2.896
0.000 1.817 6.629
4.713 1.089 0.000
4.713 0.000 3.624
3.624 4.713 0.000
1.089 0.000 4.713
0.000 4.713 1.089
0.000 3.624 4.713
0.000 0.000 0.000
```

Record 22
This record from Alexandria describes a relaxed structure of Er5CoRh4. The functional is PBE-GGA.

Properties
Energy relative to the elements: -0.784 eV/atom
Space group: P4/mmm

Cell and atoms, written as POSCAR:
```
Er5CoRh4
1.0
3.362 0.000 0.000
0.000 3.362 0.000
0.000 0.000 17.063
Er Co Rh
5 1 4
Cartesian
0.000 0.000 0.000
0.000 0.000 3.445
0.000 0.000 6.889
0.000 0.000 10.174
0.000 0.000 13.618
1.681 1.681 8.532
1.681 1.681 1.722
1.681 1.681 5.152
1.681 1.681 11.912
1.681 1.681 15.342
```

Record 23
This record from Alexandria describes a relaxed structure of Er4CoRh. The functional is PBE-GGA.

Properties
Energy relative to the elements: -0.348 eV/atom
Space group: I4_1md

Cell and atoms, written as POSCAR:
```
Er4CoRh
1.0
-4.484 4.484 4.012
4.484 -4.484 4.012
4.484 4.484 -4.012
Er Co Rh
8 2 2
Cartesian
4.484 1.772 -0.117
2.711 4.484 -2.123
1.772 0.000 1.889
0.000 2.647 0.000
0.000 6.320 0.000
2.647 4.484 2.006
1.836 0.000 6.018
0.000 2.711 3.895
0.000 4.484 1.928
0.000 0.000 7.946
4.484 0.000 1.971
0.000 0.000 3.977
```

Record 24
This record from Alexandria describes a relaxed structure of ErCo4Rh. The functional is PBE-GGA.

Properties
Energy relative to the elements: -0.158 eV/atom
Space group: F-43m

Cell and atoms, written as POSCAR:
```
ErCo4Rh
1.0
0.000 3.452 3.452
3.452 0.000 3.452
3.452 3.452 0.000
Er Co Rh
1 4 1
Cartesian
0.000 0.000 0.000
4.314 2.590 2.590
2.590 4.314 2.590
2.590 2.590 4.314
4.314 4.314 4.314
1.726 1.726 1.726
```

Taking the records one at a time from the top gives calculated volume values of 15.0, 23.3, 20.5, 22.1, 15.0, 19.5, 23.4, 14.1, 22.5, 18.8, 18.7, 20.3, 36.5, 17.3, 16.1, 24.4, 21.6, 19.3, 21.9, 23.7, 22.0, 19.3, 26.9, 13.7 Å³/atom.
Taking the records one at a time from the top gives calculated total energy values of -8.0859, -9.9657, -7.7340, -8.6515, -7.2932, -8.6023, -8.5657, -8.2629, -8.4569, -8.9971, -9.1126, -6.8981, -4.1991, -7.8035, -7.5994, -5.9775, -6.3293, -6.7466, -5.9690, -5.8838, -5.7757, -6.7167, -5.7991, -6.8810 eV/atom.
Taking the records one at a time from the top gives DOS at the Fermi energy values of 8.4, 12.8, 19.6, 9.3, 15.7, 11.2, 9.2, 22.0, 7.1, 5.0, 5.6, 7.1, 3.7, 6.5, 4.4, 14.3, 4.0, 5.6, 13.0, 12.6, 11.6, 5.0, 7.8, 6.5 states/eV/cell.